# 1
{
  "formula": "AcHg2Pb",
  "functional": "PBE-GGA",
  "state": "relaxed",
  "cell": [[4.9035, 0.0000, 0.0000], [0.0000, 4.9035, 0.0000], [0.0000, 0.0000, 4.9971]],
  "species": ["Ac", "Hg", "Hg", "Pb"],
  "fractional_positions": [[0.0000, 0.0000, 0.0000], [0.0000, 0.5000, 0.5000], [0.5000, 0.0000, 0.5000], [0.5000, 0.5000, 0.0000]],
  "crystal_system": "tetragonal"
}



# 2
{
  "formula": "Ac6HgPb6",
  "functional": "PBE-GGA",
  "state": "relaxed",
  "cell": [[7.0142, 0.0000, 0.0000], [-3.5071, 6.0745, 0.0000], [0.0000, 0.0000, 11.3791]],
  "species": ["Ac", "Ac", "Ac", "Ac", "Ac", "Ac", "Hg", "Pb", "Pb", "Pb", "Pb", "Pb", "Pb"],
  "fractional_positions": [[0.0000, 0.0000, 0.1972], [0.0000, 0.0000, 0.8028], [0.3333, 0.6667, 0.0000], [0.3333, 0.6667, 0.5000], [0.6667, 0.3333, 0.0000], [0.6667, 0.3333, 0.5000], [0.0000, 0.0000, 0.5000], [0.0000, 0.5000, 0.2518], [0.0000, 0.5000, 0.7482], [0.5000, 0.0000, 0.2518], [0.5000, 0.0000, 0.7482], [0.5000, 0.5000, 0.2518], [0.5000, 0.5000, 0.7482]],
  "crystal_system": "hexagonal"
}



# 3
{
  "formula": "Ac3Hg4Pb",
  "functional": "PBE-GGA",
  "state": "relaxed",
  "cell": [[2.7719, 1.6004, 9.5865], [-2.7719, 1.6004, 9.5865], [0.0000, -3.2007, 9.5865]],
  "species": ["Ac", "Ac", "Ac", "Hg", "Hg", "Hg", "Hg", "Pb"],
  "fractional_positions": [[0.0000, 0.0000, 0.0000], [0.2397, 0.2397, 0.2397], [0.7603, 0.7603, 0.7603], [0.1211, 0.1211, 0.1211], [0.3718, 0.3718, 0.3718], [0.6282, 0.6282, 0.6282], [0.8789, 0.8789, 0.8789], [0.5000, 0.5000, 0.5000]],
  "crystal_system": "trigonal",
  "e_above_lowest_polymorph_kj_per_mol_fu": 0
}



# 4
{
  "formula": "AcHg17Pb",
  "functional": "PBE-GGA",
  "state": "relaxed",
  "cell": [[4.7720, 2.7551, 6.8257], [-4.7720, 2.7551, 6.8257], [0.0000, -5.5102, 6.8257]],
  "species": ["Ac", "Hg", "Hg", "Hg", "Hg", "Hg", "Hg", "Hg", "Hg", "Hg", "Hg", "Hg", "Hg", "Hg", "Hg", "Hg", "Hg", "Hg", "Pb"],
  "fractional_positions": [[0.0000, 0.0000, 0.0000], [0.0361, 0.4136, 0.7192], [0.0361, 0.7192, 0.4136], [0.1240, 0.1240, 0.5562], [0.1240, 0.5562, 0.1240], [0.2380, 0.7090, 0.7090], [0.2847, 0.2847, 0.9352], [0.2847, 0.9352, 0.2847], [0.4136, 0.0362, 0.7192], [0.4136, 0.7192, 0.0362], [0.5562, 0.1240, 0.1240], [0.6389, 0.6389, 0.6389], [0.7090, 0.2380, 0.7090], [0.7090, 0.7090, 0.2380], [0.7192, 0.0362, 0.4136], [0.7192, 0.4136, 0.0362], [0.8160, 0.8160, 0.8160], [0.9352, 0.2847, 0.2847], [0.4514, 0.4514, 0.4514]],
  "crystal_system": "trigonal"
}



Number 1: energy relative to the elements -0.3840 eV per atom, ρ 11.545 g/cm³. Number 2: energy relative to the elements -0.4300 eV per atom, ρ 9.610 g/cm³. Number 3: energy relative to the elements -0.4448 eV per atom, ρ 11.002 g/cm³. Number 4: energy relative to the elements -0.0590 eV per atom, ρ 11.856 g/cm³.